(1)
This record from Alexandria describes a relaxed Hf4MnSb crystal. The functional is GGA-PBE.

Size of the total moment: 0.000 Bohr magnetons per cell
D(E_F): 0.839 states/eV/atom
Crystal system: monoclinic
SG: P2_1/c, No. 14
Energy relative to the elements, uncorrected: 0.027 eV/atom

Cell lengths 5.781, 6.529, 7.459 Å; angles 90.00, 90.12, 90.00 degrees
Atoms (fractional coordinates):
Sb 0.000 0.000 0.000
Sb 0.500 0.500 0.000
Hf 0.900 0.153 0.364
Hf 0.314 0.816 0.263
Hf 0.600 0.653 0.636
Hf 0.400 0.347 0.364
Hf 0.100 0.847 0.636
Hf 0.186 0.316 0.737
Hf 0.814 0.684 0.263
Hf 0.686 0.184 0.737
Mn 0.000 0.500 0.500
Mn 0.500 0.000 0.500

***

(2)
This record from Alexandria describes a relaxed La6TaO12 crystal. The functional is GGA-PBE.

Size of the total moment: 1.186 Bohr magnetons per cell
D(E_F): 0.853 states/eV/atom
Crystal system: trigonal
SG: R-3, No. 148
Energy relative to the elements, uncorrected: -3.298 eV/atom

Cell lengths 6.841, 6.841, 6.841 Å; angles 98.49, 98.49, 98.49 degrees
Site moments in Bohr magnetons follow the coordinates.
Atoms (fractional coordinates):
O 0.593 0.442 0.177  0.13
O 0.067 0.291 0.963  0.03
O 0.177 0.593 0.442  0.13
O 0.558 0.823 0.407  0.13
O 0.933 0.709 0.037  0.03
O 0.963 0.067 0.291  0.03
O 0.442 0.177 0.593  0.13
O 0.037 0.933 0.709  0.03
O 0.407 0.558 0.823  0.13
O 0.823 0.407 0.558  0.13
O 0.291 0.963 0.067  0.03
O 0.709 0.037 0.933  0.03
La 0.606 0.139 0.295  0.01
La 0.394 0.861 0.705  0.01
La 0.139 0.295 0.606  0.01
La 0.295 0.606 0.139  0.01
La 0.705 0.394 0.861  0.01
La 0.861 0.705 0.394  0.01
Ta 0.000 0.000 0.000  -0.01

***

(3)
This record from Alexandria describes a relaxed LaCN3 crystal. The functional is GGA-PBE.

Size of the total moment: 0.000 Bohr magnetons per cell
Crystal system: monoclinic
SG: C2/m, No. 12
Energy relative to the elements, uncorrected: -0.523 eV/atom

Cell lengths 3.730, 6.061, 6.284 Å; angles 77.10, 107.24, 90.02 degrees
Atoms (fractional coordinates):
N 0.380 0.020 0.260
N 0.620 0.980 0.740
N 0.348 0.414 0.197
N 0.652 0.586 0.803
N 0.461 0.802 0.422
N 0.539 0.198 0.578
C 0.423 0.212 0.346
C 0.577 0.788 0.654
La 0.836 0.701 0.171
La 0.164 0.299 0.829

***

(4)
This record from Alexandria describes a relaxed Y3MgN crystal. The functional is GGA-PBE.

Size of the total moment: 0.000 Bohr magnetons per cell
D(E_F): 0.643 states/eV/atom
Excess energy over the best structure of this formula in the dataset: 943 meV/atom
Crystal system: orthorhombic
SG: Cmcm, No. 63
Energy relative to the elements, uncorrected: 0.221 eV/atom

Cell lengths 9.080, 9.080, 6.096 Å; angles 90.00, 90.00, 128.13 degrees
Atoms (fractional coordinates):
Y 0.000 0.000 0.500
Y 0.083 0.412 0.250
Y 0.917 0.588 0.750
Y 0.588 0.917 0.250
Y 0.000 0.000 0.000
Y 0.412 0.083 0.750
Mg 0.177 0.823 0.250
Mg 0.823 0.177 0.750
N 0.696 0.304 0.750
N 0.304 0.696 0.250

***

What did the second record say?
This record from Alexandria describes a relaxed La6TaO12 crystal. The functional is GGA-PBE.

Size of the total moment: 1.186 Bohr magnetons per cell
D(E_F): 0.853 states/eV/atom
Crystal system: trigonal
SG: R-3, No. 148
Energy relative to the elements, uncorrected: -3.298 eV/atom

Cell lengths 6.841, 6.841, 6.841 Å; angles 98.49, 98.49, 98.49 degrees
Site moments in Bohr magnetons follow the coordinates.
Atoms (fractional coordinates):
O 0.593 0.442 0.177  0.13
O 0.067 0.291 0.963  0.03
O 0.177 0.593 0.442  0.13
O 0.558 0.823 0.407  0.13
O 0.933 0.709 0.037  0.03
O 0.963 0.067 0.291  0.03
O 0.442 0.177 0.593  0.13
O 0.037 0.933 0.709  0.03
O 0.407 0.558 0.823  0.13
O 0.823 0.407 0.558  0.13
O 0.291 0.963 0.067  0.03
O 0.709 0.037 0.933  0.03
La 0.606 0.139 0.295  0.01
La 0.394 0.861 0.705  0.01
La 0.139 0.295 0.606  0.01
La 0.295 0.606 0.139  0.01
La 0.705 0.394 0.861  0.01
La 0.861 0.705 0.394  0.01
Ta 0.000 0.000 0.000  -0.01

***

Q: size of the total moment of number 3 (LaCN3)?
A: 0.000 Bohr magnetons per cell

***

What did the first record say?
This record from Alexandria describes a relaxed Hf4MnSb crystal. The functional is GGA-PBE.

Size of the total moment: 0.000 Bohr magnetons per cell
D(E_F): 0.839 states/eV/atom
Crystal system: monoclinic
SG: P2_1/c, No. 14
Energy relative to the elements, uncorrected: 0.027 eV/atom

Cell lengths 5.781, 6.529, 7.459 Å; angles 90.00, 90.12, 90.00 degrees
Atoms (fractional coordinates):
Sb 0.000 0.000 0.000
Sb 0.500 0.500 0.000
Hf 0.900 0.153 0.364
Hf 0.314 0.816 0.263
Hf 0.600 0.653 0.636
Hf 0.400 0.347 0.364
Hf 0.100 0.847 0.636
Hf 0.186 0.316 0.737
Hf 0.814 0.684 0.263
Hf 0.686 0.184 0.737
Mn 0.000 0.500 0.500
Mn 0.500 0.000 0.500

***

Q: Look up the size of the total moment of the fourth one.
A: 0.000 Bohr magnetons per cell